[1]
First-principles (GGA-PBE) data for a relaxed structure of H2Ru2Au, as listed in the Alexandria database.

raw total energy: -54.4 eV/cell

Lattice parameters (Å, degrees): 3.500 3.500 8.367 90.00 90.00 90.00
Space group I4/mmm (No. 139)
Inequivalent atoms, fractional coordinates:
1 H 0.000 0.500 0.250 x4
2 Ru 0.000 0.000 0.166 x4
3 Au 0.000 0.000 0.500 x2

=====

[2]
First-principles (GGA-PBE) data for a relaxed structure of HRuAu3, as listed in the Alexandria database.

raw total energy: -14.8 eV/cell

Lattice parameters (Å, degrees): 5.081 5.081 5.081 90.00 90.00 90.00
Space group Pm-3m (No. 221)
Inequivalent atoms, fractional coordinates:
1 H 0.000 0.000 0.000 x1
2 Ru 0.500 0.500 0.500 x1
3 Au 0.000 0.500 0.500 x3